Compound: CsLaGe2
Source: the Alexandria database
Functional: PBE
Structure: relaxed

Lattice parameters (Å, degrees): 5.687 5.687 21.036 90.00 90.00 90.00
Space group I-42d (No. 122)
Symmetry-distinct sites (fractional):
Cs 0.000 0.000 0.000
La 0.000 0.000 0.500
Ge 0.035 0.750 0.625

## Properties
VASP energy: -57.78 eV/cell
E_form: 143 meV/atom
N(E_F): 15.080 states/eV per cell
ΔE to the lowest computed polymorph: 28.4 meV/atom

=====

Compound: YTmTh2S4
Source: the Alexandria database
Functional: PBE
Structure: relaxed

Lattice parameters (Å, degrees): 6.714 3.908 7.082 90.00 108.68 90.00
Space group P2/m (No. 10)
Symmetry-distinct sites (fractional):
Y 0.000 0.000 0.000
Tm 0.500 0.500 0.000
Th 0.000 0.500 0.500
Th 0.500 0.000 0.500
S 0.248 0.500 0.232
S 0.260 0.000 0.770

## Properties
VASP energy: -57.41 eV/cell
Formation energy from raw total energies: -1891 meV/atom
N(E_F): 5.073 states/eV per cell

=====

Compound: BaSrY2Ir
Source: the Alexandria database
Functional: PBE
Structure: relaxed

Lattice parameters (Å, degrees): 5.514 5.514 6.139 90.00 90.00 90.00
Space group P4/mmm (No. 123)
Symmetry-distinct sites (fractional):
Ba 0.000 0.000 0.000
Sr 0.500 0.500 0.000
Y 0.000 0.500 0.500
Ir 0.500 0.500 0.500

## Properties
VASP energy: -26.66 eV/cell
E_form: -252 meV/atom
N(E_F): 3.875 states/eV per cell
ΔE to the lowest computed polymorph: 0.0 meV/atom